The following is a DFT calculation (PBEsol) of an optimized crystal structure of Fe2CoSi.

POSCAR file:
```
Fe2CoSi
1.0
-1.384 0.863 -2.022
-3.361 -0.693 2.004
0.129 3.788 1.527
Co Fe Si
1 2 1
direct
0.375 0.500 0.790
0.875 0.000 0.962
0.875 0.500 0.291
0.375 0.000 0.457
```

For the formation energy from raw total energies, the calculation gives -0.252 eV per atom. The total energy is -0.298 hartree per atom.

The following is a DFT calculation (PBEsol) of an optimized crystal structure of NaTcIN2.

POSCAR file:
```
NaTcIN2
1.0
-2.460 -2.040 -2.885
3.157 0.310 -2.911
2.100 -5.000 1.744
I Na Tc N
1 1 1 2
direct
0.000 0.000 0.500
0.000 0.000 0.000
0.500 0.500 0.500
0.000 0.500 0.000
0.500 0.000 0.000
```

For the formation energy from raw total energies, the calculation gives 2.491 eV per atom. The total energy is -0.140 hartree per atom.

The following is a DFT calculation (PBEsol) of an optimized crystal structure of K2CdAu.

POSCAR file:
```
K2CdAu
1.0
3.991 0.000 0.000
0.000 5.580 -0.027
-1.996 -2.755 5.893
K Au Cd
2 1 1
direct
0.985 0.984 0.969
0.789 0.290 0.578
0.532 0.531 0.064
0.194 0.695 0.389
```

The total energy is -0.071 hartree per atom. The formation energy is -0.09 eV per atom.

The following is a DFT calculation (PBEsol) of an optimized crystal structure of NbGa2F2.

POSCAR file:
```
NbGa2F2
1.0
3.320 0.000 0.000
0.000 3.320 0.000
-1.660 -1.660 6.958
Nb Ga F
1 2 2
direct
0.000 0.000 0.000
0.250 0.750 0.500
0.750 0.250 0.500
0.419 0.419 0.839
0.581 0.581 0.161
```

For the formation energy from raw total energies, the calculation gives -0.343 eV per atom. The total energy is -0.170 hartree per atom.

The following is a DFT calculation (PBEsol) of an optimized crystal structure of AgTe2Ru.

POSCAR file:
```
AgTe2Ru
1.0
3.216 0.000 0.000
0.000 3.696 0.000
0.000 0.000 7.156
Ag Ru Te
1 1 2
direct
0.000 0.000 0.523
0.500 0.500 0.737
0.000 0.000 0.911
0.500 0.500 0.330
```

For the formation energy from raw total energies, the calculation gives 0.190 eV per atom. The total energy is -0.182 hartree per atom. The value obtained for the energy relative to the lowest polymorph listed for this composition is 0.0 meV per atom.

The following is a DFT calculation (PBEsol) of an optimized crystal structure of Li2Y.

POSCAR file:
```
Li2Y
1.0
-0.378 -2.380 -2.406
-1.939 -2.319 5.009
-5.898 4.164 -3.191
Li Y
4 2
direct
0.647 0.293 0.856
0.353 0.707 0.144
0.000 0.000 0.500
0.000 0.000 0.000
0.677 0.353 0.315
0.323 0.647 0.685
```

The total energy is -0.126 hartree per atom. The formation energy is 0.16 eV per atom.

The following is a DFT calculation (PBEsol) of an optimized crystal structure of Y2Fe17H3.

POSCAR file:
```
Y2Fe17H3
1.0
7.980 0.000 0.000
0.000 8.306 0.000
0.000 -4.153 7.193
Y Fe H
4 34 6
direct
0.750 0.667 0.333
0.250 0.333 0.667
0.750 0.000 0.000
0.250 0.000 0.000
0.750 0.621 0.672
0.250 0.379 0.328
0.750 0.051 0.379
0.250 0.949 0.328
0.250 0.949 0.621
0.750 0.051 0.672
0.750 0.328 0.949
0.250 0.672 0.621
0.250 0.672 0.051
0.750 0.328 0.379
0.250 0.379 0.051
0.750 0.621 0.949
0.393 0.667 0.333
0.607 0.333 0.667
0.893 0.333 0.667
0.107 0.667 0.333
0.985 0.833 0.167
0.015 0.167 0.833
0.985 0.334 0.167
0.485 0.167 0.833
0.015 0.666 0.833
0.515 0.833 0.167
0.985 0.833 0.666
0.485 0.666 0.833
0.015 0.167 0.334
0.515 0.334 0.167
0.485 0.167 0.334
0.515 0.833 0.666
0.000 0.500 0.500
0.000 0.000 0.500
0.500 0.500 0.500
0.000 0.500 0.000
0.500 0.000 0.500
0.500 0.500 0.000
0.750 0.835 0.165
0.250 0.165 0.835
0.750 0.330 0.165
0.250 0.670 0.835
0.750 0.835 0.670
0.250 0.165 0.330
```

The total energy is -0.296 hartree per atom.

The following is a DFT calculation (PBEsol) of an optimized crystal structure of TlZnMo2.

POSCAR file:
```
TlZnMo2
1.0
2.788 0.000 -0.018
0.000 4.475 0.000
-1.167 0.000 5.373
Mo Tl Zn
2 1 1
direct
0.721 0.000 0.719
0.279 0.000 0.281
0.500 0.500 0.000
0.000 0.500 0.500
```

The total energy is -0.237 hartree per atom. The formation energy is 0.50 eV per atom. The value obtained for the energy relative to the lowest polymorph listed for this composition is 176.2 meV per atom.

The following is a DFT calculation (PBEsol) of an optimized crystal structure of Ba2CaTc.

POSCAR file:
```
Ba2CaTc
1.0
-2.373 2.750 -0.191
-2.650 -1.942 4.972
6.520 3.304 1.194
Ca Ba Tc
1 2 1
direct
0.575 0.575 0.150
0.928 0.928 0.856
0.746 0.246 0.491
0.251 0.751 0.502
```

The total energy is -0.138 hartree per atom. The formation energy is 0.67 eV per atom.

The following is a DFT calculation (PBEsol) of an optimized crystal structure of Mg2ZnCu.

POSCAR file:
```
Mg2ZnCu
1.0
-1.026 2.006 2.191
-2.773 0.183 -1.467
-2.265 -5.134 3.639
Zn Mg Cu
1 2 1
direct
0.000 0.000 0.541
0.000 0.000 0.956
0.500 0.500 0.286
0.500 0.500 0.716
```

The total energy is -0.088 hartree per atom. The formation energy is -0.05 eV per atom.

The following is a DFT calculation (PBEsol) of an optimized crystal structure of MgCdHg2.

POSCAR file:
```
MgCdHg2
1.0
3.221 0.008 0.000
-0.042 3.221 0.000
0.000 0.000 8.269
Mg Hg Cd
1 2 1
direct
0.000 0.000 0.504
0.000 0.000 0.004
0.500 0.500 0.734
0.500 0.500 0.257
```

The total energy is -0.041 hartree per atom. The formation energy is -0.09 eV per atom.

The following is a DFT calculation (PBEsol) of an optimized crystal structure of KCrHg2.

POSCAR file:
```
KCrHg2
1.0
-0.989 -3.925 -3.228
3.873 -2.267 -2.582
1.475 -4.805 1.240
Cr Hg K
1 2 1
direct
0.000 0.000 0.000
0.250 0.250 0.250
0.750 0.750 0.750
0.500 0.500 0.500
```

The total energy is -0.099 hartree per atom. The formation energy is 0.43 eV per atom. The value obtained for the energy relative to the lowest polymorph listed for this composition is 144.9 meV per atom.

The following is a DFT calculation (PBEsol) of an optimized crystal structure of TaTeI2N.

POSCAR file:
```
TaTeI2N
1.0
-5.267 -0.484 0.380
-0.263 -1.347 -5.366
0.587 -5.349 1.314
I N Te Ta
2 1 1 1
direct
0.000 0.000 0.500
0.000 0.500 0.000
0.500 0.500 0.500
0.500 0.000 0.000
0.000 0.000 0.000
```

For the formation energy from raw total energies, the calculation gives 1.095 eV per atom. The total energy is -0.167 hartree per atom.

The following is a DFT calculation (PBEsol) of an optimized crystal structure of CdOs2Rh.

POSCAR file:
```
CdOs2Rh
1.0
-1.079 -3.115 1.781
0.087 -1.882 -3.239
4.077 -1.013 0.698
Cd Os Rh
1 2 1
direct
0.000 0.000 0.500
0.000 0.500 0.000
0.500 0.000 0.000
0.500 0.500 0.500
```

The total energy is -0.288 hartree per atom. The formation energy is 0.61 eV per atom.

The following is a DFT calculation (PBEsol) of an optimized crystal structure of SiAg8.

POSCAR file:
```
SiAg8
1.0
-1.277 -2.137 -3.205
4.561 -4.085 -1.664
-2.988 -5.194 2.086
Ag Si
8 1
direct
0.336 0.000 0.328
0.664 0.000 0.672
0.670 0.330 0.330
0.336 0.328 0.000
0.000 0.330 0.670
0.664 0.672 0.000
0.330 0.670 0.670
0.000 0.670 0.330
0.000 0.000 0.000
```

For the formation energy from raw total energies, the calculation gives 0.054 eV per atom. The total energy is -0.130 hartree per atom.

The following is a DFT calculation (PBEsol) of an optimized crystal structure of Rb2NiP2.

POSCAR file:
```
Rb2NiP2
1.0
5.662 0.000 0.000
0.000 6.561 0.000
0.000 -3.281 6.989
Ni Rb P
2 4 4
direct
0.000 0.000 0.000
0.500 0.000 0.000
0.250 0.414 0.827
0.250 0.787 0.574
0.750 0.586 0.173
0.750 0.213 0.426
0.250 0.930 0.191
0.750 0.739 0.809
0.750 0.070 0.809
0.250 0.261 0.191
```

The total energy is -0.162 hartree per atom. The formation energy is -0.44 eV per atom.

The following is a DFT calculation (PBEsol) of an optimized crystal structure of BaLi3S.

POSCAR file:
```
BaLi3S
1.0
4.902 0.000 0.000
0.000 4.902 0.000
0.000 0.000 4.902
S Ba Li
1 1 3
direct
0.000 0.000 0.000
0.500 0.500 0.500
0.000 0.500 0.000
0.000 0.000 0.500
0.500 0.000 0.000
```

For the formation energy from raw total energies, the calculation gives -0.461 eV per atom. The total energy is -0.108 hartree per atom.

The following is a DFT calculation (PBEsol) of an optimized crystal structure of LaMnTe2.

POSCAR file:
```
LaMnTe2
1.0
-4.003 0.311 1.014
-1.153 -0.005 -4.552
1.561 -6.122 -0.389
La Mn Te
1 1 2
direct
0.059 0.000 0.492
0.689 0.500 0.757
0.779 0.000 0.930
0.473 0.500 0.321
```

For the formation energy from raw total energies, the calculation gives -0.684 eV per atom. The total energy is -0.229 hartree per atom. The value obtained for the energy relative to the lowest polymorph listed for this composition is 0.0 meV per atom.

The following is a DFT calculation (PBEsol) of an optimized crystal structure of SrZr2Rh.

POSCAR file:
```
SrZr2Rh
1.0
-1.884 0.943 -2.595
-3.328 -0.269 0.165
-2.277 9.144 2.822
Rh Sr Zr
1 1 2
direct
0.490 0.490 0.530
0.237 0.237 0.289
0.011 0.011 0.968
0.762 0.762 0.713
```

The total energy is -0.256 hartree per atom. The formation energy is 0.08 eV per atom. The value obtained for the energy relative to the lowest polymorph listed for this composition is 237.3 meV per atom.

The following is a DFT calculation (PBEsol) of an optimized crystal structure of Fe3Co5.

POSCAR file:
```
Fe3Co5
1.0
3.941 0.000 0.000
0.000 4.612 -0.001
0.000 -0.839 4.741
Co Fe
5 3
direct
0.000 0.001 0.247
0.500 0.253 0.125
0.000 0.500 0.000
0.500 0.747 0.875
0.000 0.999 0.753
0.500 0.249 0.627
0.000 0.500 0.500
0.500 0.751 0.373
```

The total energy is -0.299 hartree per atom. The formation energy is 0.05 eV per atom.

The following is a DFT calculation (PBEsol) of an optimized crystal structure of YMg3Hg.

POSCAR file:
```
YMg3Hg
1.0
-5.750 1.828 -0.298
-1.851 -5.709 0.692
-0.073 0.750 5.994
Y Mg Hg
1 3 1
direct
0.000 0.000 0.000
0.000 0.500 0.000
0.000 0.000 0.500
0.500 0.000 0.000
0.500 0.500 0.500
```

The total energy is -0.054 hartree per atom. The formation energy is 1.04 eV per atom.

The following is a DFT calculation (PBEsol) of an optimized crystal structure of CeSiIr.

POSCAR file:
```
CeSiIr
1.0
6.243 0.000 0.000
0.000 6.243 0.000
0.000 0.000 6.243
Ce Si Ir
4 4 4
direct
0.374 0.126 0.874
0.626 0.626 0.626
0.126 0.874 0.374
0.874 0.374 0.126
0.083 0.417 0.583
0.583 0.083 0.417
0.417 0.583 0.083
0.917 0.917 0.917
0.309 0.309 0.309
0.809 0.191 0.691
0.191 0.691 0.809
0.691 0.809 0.191
```

For the formation energy from raw total energies, the calculation gives -0.848 eV per atom. The total energy is -0.303 hartree per atom.

The following is a DFT calculation (PBEsol) of an optimized crystal structure of LiInFe.

POSCAR file:
```
LiInFe
1.0
-0.786 -2.662 0.822
1.627 1.634 1.750
-5.684 2.571 2.885
Fe In Li
1 1 1
direct
0.000 0.000 0.004
0.333 0.667 0.679
0.667 0.333 0.317
```

The total energy is -0.158 hartree per atom. The formation energy is 0.34 eV per atom.

The following is a DFT calculation (PBEsol) of an optimized crystal structure of Zr2TaCl.

POSCAR file:
```
Zr2TaCl
1.0
3.012 0.000 0.000
0.000 4.661 0.000
0.000 0.000 5.792
Cl Zr Ta
1 2 1
direct
0.000 0.000 0.387
0.000 0.000 0.952
0.500 0.500 0.324
0.500 0.500 0.837
```

For the formation energy from raw total energies, the calculation gives 0.016 eV per atom. The total energy is -0.300 hartree per atom. The value obtained for the energy relative to the lowest polymorph listed for this composition is 0.0 meV per atom.

The following is a DFT calculation (PBEsol) of an optimized crystal structure of YBeIn.

POSCAR file:
```
YBeIn
1.0
-0.873 -4.398 1.124
-1.229 -3.023 -3.275
2.930 -3.338 -1.281
Y Be In
1 1 1
direct
0.000 0.000 0.000
0.500 0.500 0.500
0.750 0.750 0.750
```

The total energy is -0.164 hartree per atom. The formation energy is 0.14 eV per atom.

The following is a DFT calculation (PBEsol) of an optimized crystal structure of CaCrIn2.

POSCAR file:
```
CaCrIn2
1.0
3.417 0.000 0.000
1.708 2.959 0.000
1.708 0.986 9.314
Cr Ca In
1 1 2
direct
0.000 0.000 0.000
0.500 0.500 0.500
0.260 0.260 0.221
0.740 0.740 0.779
```

The total energy is -0.160 hartree per atom. The formation energy is 0.23 eV per atom.

The following is a DFT calculation (PBEsol) of an optimized crystal structure of CaMoRu2.

POSCAR file:
```
CaMoRu2
1.0
-0.810 0.027 -2.684
-2.481 -1.086 -0.727
-5.162 8.059 0.174
Ca Mo Ru
1 1 2
direct
0.496 0.496 0.511
0.260 0.260 0.220
0.002 0.002 0.995
0.742 0.742 0.774
```

The total energy is -0.292 hartree per atom. The formation energy is 0.63 eV per atom. The value obtained for the energy relative to the lowest polymorph listed for this composition is 174.5 meV per atom.